Entry 1:
# Li2CuRh (SCAN, single point on PBEsol structure)
data_Li2CuRh
_cell_length_a 3.552
_cell_length_b 3.552
_cell_length_c 7.841
_cell_angle_alpha 90.00
_cell_angle_beta 90.00
_cell_angle_gamma 90.00
_space_group_name_H-M_alt 'P 1'
_space_group_IT_number 1
_space_group_name_Hall 'P 1'
loop_
_atom_site_label
_atom_site_type_symbol
_atom_site_fract_x
_atom_site_fract_y
_atom_site_fract_z
Li1 Li 0.000 0.500 0.250
Li2 Li 0.000 0.500 0.750
Li3 Li 0.500 0.000 0.250
Li4 Li 0.500 0.000 0.750
Cu1 Cu 0.000 0.000 0.000
Cu2 Cu 0.500 0.500 0.500
Rh1 Rh 0.000 0.000 0.500
Rh2 Rh 0.500 0.500 0.000
# Magnetic moment, μB per cell: 0.0
# Total energy, eV for the cell shown: -108.30

---

Entry 2:
# Fe2Co (SCAN, single point on PBEsol structure)
data_Fe2Co
_cell_length_a 3.957
_cell_length_b 8.400
_cell_length_c 3.953
_cell_angle_alpha 90.00
_cell_angle_beta 90.00
_cell_angle_gamma 90.00
_space_group_name_H-M_alt 'P 1'
_space_group_IT_number 1
_space_group_name_Hall 'P 1'
loop_
_atom_site_label
_atom_site_type_symbol
_atom_site_fract_x
_atom_site_fract_y
_atom_site_fract_z
Fe1 Fe 0.000 0.000 0.000
Fe2 Fe 0.000 0.168 0.500
Fe3 Fe 0.000 0.500 0.500
Fe4 Fe 0.000 0.832 0.500
Fe5 Fe 0.500 0.000 0.500
Fe6 Fe 0.500 0.332 0.500
Fe7 Fe 0.500 0.500 0.000
Fe8 Fe 0.500 0.668 0.500
Co1 Co 0.000 0.334 0.000
Co2 Co 0.000 0.666 0.000
Co3 Co 0.500 0.166 0.000
Co4 Co 0.500 0.834 0.000
# Magnetic moment, μB per cell: 28.6
# Total energy, eV for the cell shown: -215.93

---

What is the total energy in the second record?
-215.93 eV for the cell shown